Record 1
Density functional theory data (PBE-GGA) for a relaxed structure of Mg2ZrW.

## Properties
- Electronic total energy: -22.3 eV for the cell shown
- Magnetic moment: 0.0 Bohr magnetons per cell
- ΔE_f: 597 meV/atom

a b c (Å): 5.0309 5.0309 3.0152
angles (deg): 90.00 90.00 90.00
With the nearest neighbours (Å) after each atom.
Space group P4/mmm (No. 123)
Asymmetric unit:
Mg1 0.0000 0.5000 0.0000 (multiplicity 2)  4 Zr 2.93, 4 W 2.93, 2 Mg 3.02
Zr1 0.0000 0.0000 0.5000 (multiplicity 1)  8 Mg 2.93, 2 Zr 3.02
W1 0.5000 0.5000 0.5000 (multiplicity 1)  8 Mg 2.93, 2 W 3.02


Record 2
Density functional theory data (PBE-GGA) for a relaxed structure of K3Dy2NpTe6.

## Properties
- Raw formation energy: -28.1 kcal/mol of atoms
- Electronic total energy: -117.8 eV for the cell shown
- Magnetic moment: 8.0 Bohr magnetons per cell

a b c (Å): 7.8468 13.6030 8.6214
angles (deg): 90.00 107.69 90.00
With the nearest neighbours (Å) after each atom.
Space group C2/m (No. 12)
Asymmetric unit:
K1 0.0000 0.0000 0.0000 (multiplicity 2)  6 Te 3.52-3.56
K2 0.0000 0.3347 0.0000 (multiplicity 4)  6 Te 3.53-3.56
Dy1 0.0000 0.1667 0.5000 (multiplicity 4)  6 Te 3.11
Np1 0.0000 0.5000 0.5000 (multiplicity 2)  6 Te 3.16
Te1 0.2313 0.0000 0.7088 (multiplicity 4)  2 Dy 3.11, 1 Np 3.16
Te2 0.2387 0.3309 0.7089 (multiplicity 8)  2 Dy 3.11, 1 Np 3.16


Record 3
Density functional theory data (PBE-GGA) for a relaxed structure of CaTlO3.

## Properties
- Raw formation energy: -29.9 kcal/mol of atoms
- Electronic total energy: -51.4 eV for the cell shown
- Magnetic moment: 2.0 Bohr magnetons per cell

a b c (Å): 3.5587 5.4735 7.1225
angles (deg): 90.00 90.00 90.00
With the nearest neighbours (Å) after each atom.
Space group Pmmn (No. 59, origin choice 2)
Asymmetric unit:
Ca1 0.2500 0.2500 0.1197 (multiplicity 2)  2 O 2.29
Tl1 0.2500 0.7500 0.3853 (multiplicity 2)  7 O 2.16-2.42
O1 0.2500 0.5404 0.6673 (multiplicity 4)  1 O 2.29, 3 Tl 2.31-2.42
O2 0.2500 0.7500 0.0817 (multiplicity 2)  1 Tl 2.16, 2 Ca 2.29